*A*
First-principles (PBE-GGA) data for a relaxed NiGe2W crystal, as listed in Alexandria via LeMat-Bulk.

It has space group Fm-3m (No. 225), with a = 6.148 Å, b = 6.148 Å, c = 6.148 Å, α = 90.00°, β = 90.00° and γ = 90.00°. The distinct sites, in fractional coordinates, are Ni at (0.000, 0.000, 0.000), Ge at (0.250, 0.250, 0.250) and W at (0.000, 0.000, 0.500).

For the total magnetization, the calculation gives 0.000 μB/atom. Its volume is 14.52 Å³/atom.

=====

*B*
First-principles (PBE-GGA) data for a relaxed NiGe2W crystal, as listed in Alexandria via LeMat-Bulk.

It has space group R-3m (No. 166, hexagonal axes), with a = 2.9159 Å, b = 2.9159 Å, c = 26.3587 Å, α = 90.00°, β = 90.00° and γ = 120.00°. The distinct sites, in fractional coordinates, are Ni at (0.0000, 0.0000, 0.0000), Ge at (0.0000, 0.0000, 0.0868) and W at (0.0000, 0.0000, 0.5000).

For the total magnetization, the calculation gives 0.000 μB/atom. Its volume is 16.17 Å³/atom.

=====

Here is how they stack up, most stable first: *A*, *B*.

=====

*A*
First-principles (PBE-GGA) data for a relaxed YNi4Ge2 crystal, as listed in Alexandria via LeMat-Bulk.

It has space group P4_2/mnm (No. 136), with a = 7.309 Å, b = 7.309 Å, c = 3.754 Å, α = 90.00°, β = 90.00° and γ = 90.00°. The distinct sites, in fractional coordinates, are Y at (0.000, 0.000, 0.000), Ni at (0.086, 0.345, 0.500) and Ge at (0.220, 0.780, 0.500).

For the total magnetization, the calculation gives 0.000 μB/atom. Its volume is 14.32 Å³/atom.

=====

*B*
First-principles (PBE-GGA) data for a relaxed YNi4Ge2 crystal, as listed in Alexandria via LeMat-Bulk.

It has space group R-3m (No. 166, hexagonal axes), with a = 4.0335 Å, b = 4.0335 Å, c = 21.9530 Å, α = 90.00°, β = 90.00° and γ = 120.00°. The distinct sites, in fractional coordinates, are Y at (0.0000, 0.0000, 0.0000), Ni at (0.0000, 0.0000, 0.1415), Ni at (0.0000, 0.0000, 0.4393) and Ge at (0.0000, 0.0000, 0.2488).

For the total magnetization, the calculation gives 0.000 μB/atom. Its volume is 14.73 Å³/atom.

=====

Here is how they stack up, most stable first: *A*, *B*.

=====

*A*
First-principles (PBE-GGA) data for a relaxed YNi5Ge3 crystal, as listed in Alexandria via LeMat-Bulk.

It has space group Cmcm (No. 63), with a = 3.735 Å, b = 12.108 Å, c = 11.743 Å, α = 90.00°, β = 90.00° and γ = 90.00°. The distinct sites, in fractional coordinates, are Y at (0.000, 0.157, 0.250), Ni at (0.000, 0.000, 0.000), Ni at (0.000, 0.194, 0.566), Ni at (0.000, 0.448, 0.144), Ge at (0.000, 0.115, 0.750) and Ge at (0.000, 0.381, 0.547).

For the total magnetization, the calculation gives 0.000 μB/atom. Its volume is 14.75 Å³/atom.

=====

*B*
First-principles (PBE-GGA) data for a relaxed YNi5Ge3 crystal, as listed in Alexandria via LeMat-Bulk.

It has space group Pnma (No. 62), with a = 19.139 Å, b = 3.870 Å, c = 6.842 Å, α = 90.00°, β = 90.00° and γ = 90.00°. The distinct sites, in fractional coordinates, are Y at (0.144, 0.250, 0.121), Ni at (0.005, 0.750, 0.135), Ni at (0.014, 0.250, 0.385), Ni at (0.113, 0.250, 0.645), Ni at (0.200, 0.750, 0.808), Ni at (0.209, 0.750, 0.425), Ge at (0.075, 0.750, 0.850), Ge at (0.087, 0.750, 0.411) and Ge at (0.237, 0.250, 0.615).

For the total magnetization, the calculation gives 0.000 μB/atom. Its volume is 14.08 Å³/atom.

=====

Here is how they stack up, most stable first: *B*, *A*.

=====

*A*
First-principles (PBE-GGA) data for a relaxed YNi3Ge crystal, as listed in Alexandria via LeMat-Bulk.

It has space group Cmmm (No. 65), with a = 5.433 Å, b = 7.115 Å, c = 4.422 Å, α = 90.00°, β = 90.00° and γ = 90.00°. The distinct sites, in fractional coordinates, are Y at (0.000, 0.000, 0.000), Ni at (0.000, 0.500, 0.000), Ni at (0.250, 0.250, 0.500) and Ge at (0.000, 0.500, 0.500).

For the total magnetization, the calculation gives 0.000 μB/atom. Its volume is 17.10 Å³/atom.

=====

*B*
First-principles (PBE-GGA) data for a relaxed YNi3Ge crystal, as listed in Alexandria via LeMat-Bulk.

It has space group Pm-3m (No. 221), with a = 4.407 Å, b = 4.407 Å, c = 4.407 Å, α = 90.00°, β = 90.00° and γ = 90.00°. The distinct sites, in fractional coordinates, are Y at (0.000, 0.000, 0.000), Ni at (0.000, 0.500, 0.500) and Ge at (0.500, 0.500, 0.500).

For the total magnetization, the calculation gives 0.000 μB/atom. Its volume is 17.11 Å³/atom.

=====

Here is how they stack up, most stable first: *A*, *B*.